Below is Na3Pr5Cl18 after structural relaxation, with properties calculated at the PBE-GGA level.

The structure in CIF format:
```
data_Na3Pr5Cl18
_cell_length_a 7.6683
_cell_length_b 7.6683
_cell_length_c 12.8817
_cell_angle_alpha 90.00
_cell_angle_beta 90.00
_cell_angle_gamma 120.00
_space_group_name_H-M_alt 'P -6'
_space_group_IT_number 174
loop_
_space_group_symop_operation_xyz
'x,y,z'
'-x+y,-x,-z'
'-y,x-y,z'
'x,y,-z'
'-x+y,-x,z'
'-y,x-y,-z'
loop_
_atom_site_label
_atom_site_fract_x
_atom_site_fract_y
_atom_site_fract_z
Na1 0.0000 0.0000 0.0000
Na2 0.6667 0.3333 0.2321
Pr1 0.0000 0.0000 0.3314
Pr2 0.3333 0.6667 0.1596
Pr3 0.3333 0.6667 0.5000
Cl1 0.0561 0.6352 0.3360
Cl2 0.0588 0.6290 0.0000
Cl3 0.2712 0.0238 0.5000
Cl4 0.2799 0.0264 0.1753
```

Computed properties:
Its crystal system is hexagonal. The formation energy (no corrections) comes out at -2.173 eV/atom. As for the total energy: -4.523 eV per atom. The value obtained for the total magnetic moment is 0.00 Bohr magnetons per cell.

---

Below is LaErTlRh after structural relaxation, with properties calculated at the PBE-GGA level.

The structure in CIF format:
```
data_LaErTlRh
_cell_length_a 7.400
_cell_length_b 7.400
_cell_length_c 7.400
_cell_angle_alpha 90.00
_cell_angle_beta 90.00
_cell_angle_gamma 90.00
_space_group_name_H-M_alt 'F -4 3 m'
_space_group_IT_number 216
_space_group_name_Hall 'F -4 2 3'
loop_
_atom_site_label
_atom_site_fract_x
_atom_site_fract_y
_atom_site_fract_z
La1 0.000 0.000 0.000
Er1 0.000 0.000 0.500
Tl1 0.250 0.250 0.250
Rh1 0.250 0.250 0.750
```

Computed properties:
Its crystal system is cubic. The formation energy comes out at -0.430 eV/atom. As for the total energy: -5.232 eV per atom. The value obtained for the total magnetic moment is 0.00 Bohr magnetons per cell.

---

Below is HgGe3F after structural relaxation, with properties calculated at the PBE-GGA level.

The structure in CIF format:
```
data_HgGe3F
_cell_length_a 5.259
_cell_length_b 5.259
_cell_length_c 5.259
_cell_angle_alpha 90.00
_cell_angle_beta 90.00
_cell_angle_gamma 90.00
_space_group_name_H-M_alt 'P m -3 m'
_space_group_IT_number 221
_space_group_name_Hall '-P 4 2 3'
loop_
_atom_site_label
_atom_site_fract_x
_atom_site_fract_y
_atom_site_fract_z
Hg1 0.000 0.000 0.000
Ge1 0.000 0.000 0.500
F1 0.500 0.500 0.500
```

Computed properties:
Its crystal system is cubic. The formation energy (no corrections) comes out at 0.677 eV/atom. As for the total energy: -2.528 eV per atom. The value obtained for the total magnetic moment is 0.00 Bohr magnetons per cell.

---

So what do the calculations give for D(E_F)? Going down the list: 0.000 0.855 1.067 states/eV/atom.